# 1
Material: LaHo2Hg
Method: DFT, PBE-GGA
State: relaxed Values from VASP.

## Properties
energy above the most stable polymorph in this dataset	0.275	kcal/mol of atoms
calculated formation energy	-5.2	kcal/mol of atoms
symmetry	P4/mmm, No. 123

Cell and atoms, written as Quantum ESPRESSO input:
```
&SYSTEM
  ibrav = 0, nat = 4, ntyp = 3
/
ATOMIC_SPECIES
La 138.91 La.upf
Ho 164.93 Ho.upf
Hg 200.59 Hg.upf
CELL_PARAMETERS angstrom
3.6649 0.0000 0.0000
0.0000 3.6649 0.0000
0.0000 0.0000 8.8810
ATOMIC_POSITIONS angstrom
La 0.0000 0.0000 0.0000
Ho 1.8325 1.8325 2.5579
Ho 1.8325 1.8325 6.3232
Hg 0.0000 0.0000 4.4405
```

---

# 2
Material: CaPmSiAg
Method: DFT, PBE-GGA
State: relaxed Values from VASP.

## Properties
uncorrected formation energy	-424	meV per atom
symmetry	F-43m, No. 216

Cell and atoms, written as Quantum ESPRESSO input:
```
&SYSTEM
  ibrav = 0, nat = 16, ntyp = 4
/
ATOMIC_SPECIES
Ca 40.08 Ca.upf
Pm 145.00 Pm.upf
Si 28.09 Si.upf
Ag 107.87 Ag.upf
CELL_PARAMETERS angstrom
7.2935 0.0000 0.0000
0.0000 7.2935 0.0000
0.0000 0.0000 7.2935
ATOMIC_POSITIONS angstrom
Ca 0.0000 0.0000 0.0000
Ca 0.0000 3.6467 3.6467
Ca 3.6467 0.0000 3.6467
Ca 3.6467 3.6467 0.0000
Pm 0.0000 0.0000 3.6467
Pm 0.0000 3.6467 0.0000
Pm 3.6467 0.0000 0.0000
Pm 3.6467 3.6467 3.6467
Si 1.8234 1.8234 1.8234
Si 1.8234 5.4701 5.4701
Si 5.4701 1.8234 5.4701
Si 5.4701 5.4701 1.8234
Ag 1.8234 1.8234 5.4701
Ag 1.8234 5.4701 1.8234
Ag 5.4701 1.8234 1.8234
Ag 5.4701 5.4701 5.4701
```

---

# 3
Material: Cs3Li2PuCl6
Method: DFT, PBE-GGA
State: relaxed Values from VASP.

## Properties
uncorrected formation energy	-1658	meV per atom
symmetry	P-3m1, No. 164

Cell and atoms, written as Quantum ESPRESSO input:
```
&SYSTEM
  ibrav = 0, nat = 12, ntyp = 4
/
ATOMIC_SPECIES
Cs 132.91 Cs.upf
Li 6.94 Li.upf
Pu 244.00 Pu.upf
Cl 35.45 Cl.upf
CELL_PARAMETERS angstrom
7.6709 0.0000 0.0000
-3.8355 6.6432 0.0000
0.0000 0.0000 9.2345
ATOMIC_POSITIONS angstrom
Cs 0.0000 0.0000 0.0000
Cs 0.0000 4.4288 6.0797
Cs 3.8355 2.2144 3.1548
Li 0.0000 4.4288 2.0580
Li 3.8355 2.2144 7.1764
Pu 0.0000 0.0000 4.6172
Cl 0.0000 2.2461 2.9003
Cl -1.8903 5.5202 2.9003
Cl 1.9452 1.1231 6.3341
Cl 1.8903 5.5202 2.9003
Cl 5.7258 1.1231 6.3341
Cl 3.8355 4.3971 6.3341
```

---

# 4
Material: Cr2SbAs
Method: DFT, PBE-GGA
State: relaxed Values from VASP.

## Properties
uncorrected formation energy	335	meV per atom
symmetry	Pmmm, No. 47

Cell and atoms, written as Quantum ESPRESSO input:
```
&SYSTEM
  ibrav = 0, nat = 4, ntyp = 3
/
ATOMIC_SPECIES
Cr 52.00 Cr.upf
Sb 121.76 Sb.upf
As 74.92 As.upf
CELL_PARAMETERS angstrom
3.5671 0.0000 0.0000
0.0000 4.0293 0.0000
0.0000 0.0000 5.0642
ATOMIC_POSITIONS angstrom
Cr 0.0000 0.0000 0.0000
Cr 0.0000 2.0146 2.5321
Sb 1.7836 0.0000 2.5321
As 1.7836 2.0146 0.0000
```

---

no.,uncorrected energy (eV/atom),DOS at the Fermi energy (states/eV per atom),M_tot (μB per formula unit)
1,-3.821,1.525,0.0
2,-4.181,0.413,0.0
3,-4.308,1.778,5.5
4,-6.670,0.871,6.5